Record 1
The following is a DFT calculation (PBE) of a relaxed Pu3Ga7Ir4 crystal.

a b c (Å): 15.4817 4.2432 9.2964
angles (deg): 90.00 122.55 90.00
Space group C2/m (No. 12)
Unique sites:
Pu 0.0000 0.0000 0.0000 x2
Pu 0.1921 0.5000 0.7021 x4
Ga 0.0000 0.0000 0.5000 x2
Ga 0.0046 0.5000 0.2928 x4
Ga 0.1598 0.0000 0.4323 x4
Ga 0.1819 0.5000 0.0275 x4
Ir 0.1142 0.0000 0.8392 x4
Ir 0.1611 0.5000 0.2789 x4

E_form ... -0.53 eV/atom
Total magnetization ... 15.0 μB/f.u.
DOS at the Fermi energy ... 30.36 states/eV/f.u.
Density ... 12.83 g/cm³
Crystal system ... monoclinic

***

Record 2
The following is a DFT calculation (PBE) of a relaxed Ca2ZrMn crystal.

a b c (Å): 4.5552 4.5552 10.2648
angles (deg): 90.00 90.00 90.00
Space group I4/mmm (No. 139)
Unique sites:
Ca 0.0000 0.5000 0.2500 x4
Zr 0.0000 0.0000 0.0000 x2
Mn 0.0000 0.0000 0.5000 x2

Energy above the most stable polymorph in this dataset ... 0.336 eV per atom
E_form ... 0.54 eV/atom
Total magnetization ... 1.4 μB/f.u.
DOS at the Fermi energy ... 3.93 states/eV/f.u.
Density ... 3.53 g/cm³
Crystal system ... tetragonal

***

Record 3
The following is a DFT calculation (PBE) of a relaxed NaVZn crystal.

a b c (Å): 4.8707 4.8707 2.8680
angles (deg): 90.00 90.00 120.00
Space group P-6m2 (No. 187)
Unique sites:
Na 0.0000 0.0000 0.0000 x1
V 0.6667 0.3333 0.5000 x1
Zn 0.3333 0.6667 0.5000 x1

Energy above the most stable polymorph in this dataset ... 0.559 eV per atom
E_form ... 0.69 eV/atom
Total magnetization ... 3.5 μB/f.u.
DOS at the Fermi energy ... 1.93 states/eV/f.u.
Density ... 3.93 g/cm³
Crystal system ... hexagonal

***

Record 4
The following is a DFT calculation (PBE) of a relaxed CaNpSc2O8 crystal.

a b c (Å): 4.9118 6.8456 4.9148
angles (deg): 90.00 90.08 90.00
Space group P2/m (No. 10)
Unique sites:
Ca 0.0000 0.0000 0.0000 x1
Np 0.0000 0.5000 0.0000 x1
Sc 0.5000 0.2585 0.5000 x2
O 0.1930 0.2829 0.8094 x4
O 0.2994 0.5000 0.3014 x2
O 0.3384 0.0000 0.3425 x2

Formation energy (no corrections) ... -2.845 eV/atom
Total magnetization ... 1.0 μB/f.u.
Density ... 4.97 g/cm³
Crystal system ... monoclinic

***

Record 5
The following is a DFT calculation (PBE) of a relaxed La3DyY crystal.

a b c (Å): 6.8123 3.5280 14.7753
angles (deg): 90.00 98.70 90.00
Space group P2_1/m (No. 11)
Unique sites:
La 0.0599 0.2500 0.2025 x2
La 0.2546 0.2500 0.9876 x2
La 0.3822 0.2500 0.3980 x2
Dy 0.4249 0.7500 0.7974 x2
Y 0.1262 0.2500 0.6059 x2

Energy above the most stable polymorph in this dataset ... 0.070 eV per atom
E_form ... 0.12 eV/atom
Total magnetization ... 0.0 μB/f.u.
DOS at the Fermi energy ... 8.48 states/eV/f.u.
Density ... 6.32 g/cm³
Crystal system ... monoclinic

***

Record 6
The following is a DFT calculation (PBE) of a relaxed InSiMo2 crystal.

a b c (Å): 3.0224 4.4505 5.2743
angles (deg): 90.00 105.21 90.00
Space group Pm (No. 6)
Unique sites:
In 0.0000 0.0000 0.0000 x1
Si 0.3224 0.5000 0.7279 x1
Mo 0.3379 0.0000 0.5239 x1
Mo 0.6252 0.5000 0.3010 x1

Energy above the most stable polymorph in this dataset ... 0.226 eV per atom
Formation energy (no corrections) ... 0.265 eV/atom
Total magnetization ... 0.0 μB/f.u.
DOS at the Fermi energy ... 2.28 states/eV/f.u.
Density ... 8.12 g/cm³
Crystal system ... monoclinic